No. 1
# Sm2Y6Er (PBE, optimized geometry)
data_Sm2Y6Er
_symmetry_space_group_name_H-M 'C 1 2/c 1'
_symmetry_Int_Tables_number 15
_cell_length_a 12.862
_cell_length_b 14.351
_cell_length_c 6.575
_cell_angle_alpha 90.00
_cell_angle_beta 103.96
_cell_angle_gamma 90.00
loop_
_symmetry_equiv_pos_as_xyz
'x,y,z'
'-x,-y,-z'
'-x,y,-z+1/2'
'x,-y,z+1/2'
'x+1/2,y+1/2,z'
'-x+1/2,-y+1/2,-z'
'-x+1/2,y+1/2,-z+1/2'
'x+1/2,-y+1/2,z+1/2'
loop_
_atom_site_label
_atom_site_fract_x
_atom_site_fract_y
_atom_site_fract_z
Sm1 0.141 0.024 0.371
Y1 0.037 0.187 0.006
Y2 0.134 0.412 0.811
Y3 0.240 0.199 0.726
Er1 0.000 0.382 0.250
# Energy above the lowest structure with this stoichiometry (meV/atom): 35
# Formation enthalpy at 0 K (eV per atom): 0.105

=====

No. 2
# SmYEr2 (PBE, optimized geometry)
data_SmYEr2
_symmetry_space_group_name_H-M 'P 1 m 1'
_symmetry_Int_Tables_number 6
_cell_length_a 6.260
_cell_length_b 5.670
_cell_length_c 7.238
_cell_angle_alpha 90.00
_cell_angle_beta 90.08
_cell_angle_gamma 90.00
loop_
_symmetry_equiv_pos_as_xyz
'x,y,z'
'x,-y,z'
loop_
_atom_site_label
_atom_site_fract_x
_atom_site_fract_y
_atom_site_fract_z
Sm1 0.000 0.000 0.000
Sm2 0.332 0.500 0.001
Y1 0.000 0.000 0.503
Y2 0.832 0.500 0.253
Er1 0.336 0.500 0.502
Er2 0.499 0.000 0.254
Er3 0.503 0.000 0.749
Er4 0.832 0.500 0.750
# Energy above the lowest structure with this stoichiometry (meV/atom): 0
# Formation enthalpy at 0 K (eV per atom): 0.011